The following is a PBE calculation of an optimized crystal structure of YScGaF2, from Alexandria via LeMat-Bulk.

It has space group P4/mmm (No. 123), with a = 4.226 Å, b = 4.226 Å, c = 7.374 Å, α = 90.00°, β = 90.00° and γ = 90.00°. The distinct sites, in fractional coordinates, are Y at (0.000, 0.000, 0.000), Sc at (0.000, 0.000, 0.500), Ga at (0.500, 0.500, 0.500) and F at (0.000, 0.500, 0.000).

The calculation puts the formation energy without anion corrections at -1.80 eV per atom. Its theoretical density is 3.046 g/cm³.

=====

The following is a PBE calculation of an optimized crystal structure of GaSeF3, from Alexandria via LeMat-Bulk.

It has space group Pm-3m (No. 221), with a = 4.476 Å, b = 4.476 Å, c = 4.476 Å, α = 90.00°, β = 90.00° and γ = 90.00°. The distinct sites, in fractional coordinates, are Ga at (0.000, 0.000, 0.000), Se at (0.500, 0.500, 0.500) and F at (0.000, 0.500, 0.500).

The calculation puts the formation energy without anion corrections at -1.00 eV per atom. Its theoretical density is 3.808 g/cm³.

=====

The following is a PBE calculation of an optimized crystal structure of GaSeF, from Alexandria via LeMat-Bulk.

It has space group C2/c (No. 15), with a = 10.911 Å, b = 13.110 Å, c = 6.529 Å, α = 90.00°, β = 123.57° and γ = 90.00°. The distinct sites, in fractional coordinates, are Ga at (0.000, 0.035, 0.250), Ga at (0.157, 0.425, 0.325), Se at (0.000, 0.431, 0.750), Se at (0.119, 0.116, 0.654), F at (0.000, 0.328, 0.250) and F at (0.239, 0.109, 0.339).

The calculation puts the formation energy without anion corrections at -1.33 eV per atom. Its theoretical density is 4.294 g/cm³.

=====

The following is a PBE calculation of an optimized crystal structure of GaSeF2, from Alexandria via LeMat-Bulk.

It has space group Fm-3m (No. 225), with a = 6.278 Å, b = 6.278 Å, c = 6.278 Å, α = 90.00°, β = 90.00° and γ = 90.00°. The distinct sites, in fractional coordinates, are Ga at (0.000, 0.000, 0.000), Se at (0.000, 0.000, 0.500) and F at (0.250, 0.250, 0.250).

The calculation puts the formation energy without anion corrections at -0.57 eV per atom. Its theoretical density is 5.011 g/cm³.

=====

The following is a PBE calculation of an optimized crystal structure of GaSeF2, from Alexandria via LeMat-Bulk.

It has space group R-3m (No. 166, hexagonal axes), with a = 3.1625 Å, b = 3.1625 Å, c = 23.3948 Å, α = 90.00°, β = 90.00° and γ = 120.00°. The distinct sites, in fractional coordinates, are Ga at (0.0000, 0.0000, 0.0000), Se at (0.0000, 0.0000, 0.5000) and F at (0.0000, 0.0000, 0.4142).

The calculation puts the formation energy without anion corrections at -1.01 eV per atom. Its theoretical density is 4.589 g/cm³.

=====

The following is a PBE calculation of an optimized crystal structure of Ga4SeF2, from Alexandria via LeMat-Bulk.

It has space group I4/mmm (No. 139), with a = 5.264 Å, b = 5.264 Å, c = 14.402 Å, α = 90.00°, β = 90.00° and γ = 90.00°. The distinct sites, in fractional coordinates, are Ga at (0.000, 0.000, 0.231), Ga at (0.000, 0.500, 0.000), Se at (0.000, 0.000, 0.500) and F at (0.000, 0.000, 0.098).

The calculation puts the formation energy without anion corrections at -0.69 eV per atom. Its theoretical density is 3.294 g/cm³.